# 1
Entry from Alexandria: PrSm12Tm6 after structural relaxation (GGA-PBE).

Lattice parameters (Å, degrees): 8.7652 8.7652 8.7652 98.87 98.87 98.87
With the nearest neighbours (Å) after each atom.
Fractional positions:
Sm 0.6450 0.9181 0.6450  6 Sm 3.36-3.64, 2 Tm 3.74
Sm 0.5000 0.7583 0.2417  6 Sm 3.36-3.55, 4 Tm 3.45-3.59
Sm 0.6450 0.6450 0.9181  6 Sm 3.36-3.64, 2 Tm 3.74
Sm 0.2417 0.5000 0.7583  6 Sm 3.36-3.55, 4 Tm 3.45-3.59
Sm 0.3550 0.0819 0.3550  6 Sm 3.36-3.64, 2 Tm 3.74
Sm 0.7583 0.2417 0.5000  6 Sm 3.36-3.55, 4 Tm 3.45-3.59
Sm 0.7583 0.5000 0.2417  6 Sm 3.36-3.55, 4 Tm 3.45-3.59
Sm 0.9181 0.6450 0.6450  6 Sm 3.36-3.64, 2 Tm 3.74
Sm 0.2417 0.7583 0.5000  6 Sm 3.36-3.55, 4 Tm 3.45-3.59
Sm 0.5000 0.2417 0.7583  6 Sm 3.36-3.55, 4 Tm 3.45-3.59
Sm 0.0819 0.3550 0.3550  6 Sm 3.36-3.64, 2 Tm 3.74
Sm 0.3550 0.3550 0.0819  6 Sm 3.36-3.64, 2 Tm 3.74
Tm 0.8987 0.3386 0.8987  3 Tm 3.20-3.57, 1 Pr 3.43, 2 Sm 3.45
Tm 0.3386 0.8987 0.8987  3 Tm 3.20-3.57, 1 Pr 3.43, 2 Sm 3.45
Tm 0.1013 0.6614 0.1013  3 Tm 3.20-3.57, 1 Pr 3.43, 2 Sm 3.45
Tm 0.1013 0.1013 0.6614  3 Tm 3.20-3.57, 1 Pr 3.43, 2 Sm 3.45
Tm 0.8987 0.8987 0.3386  3 Tm 3.20-3.57, 1 Pr 3.43, 2 Sm 3.45
Tm 0.6614 0.1013 0.1013  3 Tm 3.20-3.57, 1 Pr 3.43, 2 Sm 3.45
Pr 0.0000 0.0000 0.0000  6 Tm 3.43

energy above the lowest structure with this stoichiometry	1.077	eV per formula unit
DOS at the Fermi energy	36.86	states/eV per cell
calculated total energy	-84.5	eV/cell
total magnetic moment	0.000	μB per atom
ΔE_f	197	meV per atom

***

# 2
Entry from Alexandria: Pr6Sm2Tm5 after structural relaxation (GGA-PBE).

Lattice parameters (Å, degrees): 3.6473 11.8123 20.5681 90.00 90.00 90.00
With the nearest neighbours (Å) after each atom.
Fractional positions:
Pr 0.0000 0.4420 0.5787  5 Pr 3.51-3.79, 6 Tm 3.54-3.71, 1 Sm 3.81
Pr 0.5000 0.8248 0.3709  2 Tm 3.34-3.37, 4 Pr 3.55-3.65, 2 Sm 3.73
Pr 0.0000 0.9175 0.6340  1 Sm 3.41, 6 Tm 3.44-3.54, 4 Pr 3.55-3.65
Pr 0.5000 0.1752 0.6291  2 Tm 3.34-3.37, 4 Pr 3.55-3.65, 2 Sm 3.73
Pr 0.5000 0.3248 0.1291  2 Tm 3.34-3.37, 4 Pr 3.55-3.65, 2 Sm 3.73
Pr 0.0000 0.9420 0.9213  5 Pr 3.51-3.79, 6 Tm 3.54-3.71, 1 Sm 3.81
Pr 0.0000 0.0580 0.0787  5 Pr 3.51-3.79, 6 Tm 3.54-3.71, 1 Sm 3.81
Pr 0.0000 0.4175 0.8660  1 Sm 3.41, 6 Tm 3.44-3.54, 4 Pr 3.55-3.65
Pr 0.0000 0.0825 0.3660  1 Sm 3.41, 6 Tm 3.44-3.54, 4 Pr 3.55-3.65
Pr 0.0000 0.5580 0.4213  5 Pr 3.51-3.79, 6 Tm 3.54-3.71, 1 Sm 3.81
Pr 0.5000 0.6752 0.8709  2 Tm 3.34-3.37, 4 Pr 3.55-3.65, 2 Sm 3.73
Pr 0.0000 0.5825 0.1340  1 Sm 3.41, 6 Tm 3.44-3.54, 4 Pr 3.55-3.65
Tm 0.5000 0.5955 0.2756  5 Pr 3.34-3.54, 4 Sm 3.58-3.61, 2 Tm 3.65
Tm 0.5000 0.4045 0.7244  5 Pr 3.34-3.54, 4 Sm 3.58-3.61, 2 Tm 3.65
Tm 0.5000 0.9045 0.7756  5 Pr 3.34-3.54, 4 Sm 3.58-3.61, 2 Tm 3.65
Tm 0.5000 0.0000 0.5000  6 Pr 3.37-3.45, 4 Tm 3.65-3.73
Tm 0.5000 0.8004 0.0558  6 Pr 3.54-3.71, 3 Tm 3.65-3.73, 2 Sm 3.74
Tm 0.5000 0.6996 0.5558  6 Pr 3.54-3.71, 3 Tm 3.65-3.73, 2 Sm 3.74
Tm 0.5000 0.0955 0.2244  5 Pr 3.34-3.54, 4 Sm 3.58-3.61, 2 Tm 3.65
Tm 0.5000 0.5000 0.0000  6 Pr 3.37-3.45, 4 Tm 3.65-3.73
Tm 0.5000 0.3004 0.4442  6 Pr 3.54-3.71, 3 Tm 3.65-3.73, 2 Sm 3.74
Tm 0.5000 0.1996 0.9442  6 Pr 3.54-3.71, 3 Tm 3.65-3.73, 2 Sm 3.74
Sm 0.0000 0.1643 0.7869  4 Pr 3.41-3.81, 6 Tm 3.58-3.74, 2 Sm 3.65
Sm 0.0000 0.6643 0.7131  4 Pr 3.41-3.81, 6 Tm 3.58-3.74, 2 Sm 3.65
Sm 0.0000 0.8357 0.2131  4 Pr 3.41-3.81, 6 Tm 3.58-3.74, 2 Sm 3.65
Sm 0.0000 0.3357 0.2869  4 Pr 3.41-3.81, 6 Tm 3.58-3.74, 2 Sm 3.65

DOS at the Fermi energy	31.27	states/eV per cell
calculated total energy	-118.2	eV/cell
total magnetic moment	0.000	μB per atom
ΔE_f	106	meV per atom

***

# 3
Entry from Alexandria: Pr8Sm5Tm after structural relaxation (GGA-PBE).

Lattice parameters (Å, degrees): 8.6713 8.6713 8.6713 110.66 107.12 110.66
With the nearest neighbours (Å) after each atom.
Fractional positions:
Pr 0.3385 0.2682 0.4366  4 Sm 3.23-3.59, 1 Tm 3.24
Pr 0.6604 0.3965 0.9208  5 Sm 3.44-3.67, 4 Pr 3.64-3.81
Pr 0.7362 0.2604 0.3396  5 Sm 3.44-3.67, 4 Pr 3.64-3.81
Pr 0.5634 0.9018 0.8315  4 Sm 3.23-3.59, 1 Tm 3.24
Pr 0.9297 0.0982 0.6615  4 Sm 3.23-3.59, 1 Tm 3.24
Pr 0.5243 0.6035 0.2638  5 Sm 3.44-3.67, 4 Pr 3.64-3.81
Pr 0.0792 0.7396 0.4757  5 Sm 3.44-3.67, 4 Pr 3.64-3.81
Pr 0.1685 0.7318 0.0703  4 Sm 3.23-3.59, 1 Tm 3.24
Sm 0.0294 0.3118 0.1303  8 Pr 3.41-3.69, 2 Sm 3.59
Sm 0.8697 0.8991 0.1816  8 Pr 3.41-3.69, 2 Sm 3.59
Sm 0.2825 0.1009 0.9706  8 Pr 3.41-3.69, 2 Sm 3.59
Sm 0.8184 0.6882 0.7175  8 Pr 3.41-3.69, 2 Sm 3.59
Sm 0.5000 0.0000 0.5000  8 Pr 3.23-3.44
Tm 0.2500 0.5000 0.7500  4 Pr 3.24

DOS at the Fermi energy	20.93	states/eV per cell
calculated total energy	-62.9	eV/cell
total magnetic moment	0.000	μB per atom
ΔE_f	243	meV per atom

***

- Look up the ΔE_f of the second one.
  106 meV per atom

***

- What is the formula in the third record?
  Pr8Sm5Tm

***

- What is the total magnetic moment in the second record?
  0.000 μB per atom

***

- Which value of calculated total energy does entry 1 give?
  -84.5 eV/cell